# CsCaC3

A geometry-optimized CsCaC3 structure (PBE, Alexandria via LeMat-Bulk).

Cell: 4.627 4.627 4.627 Å, 90.00 90.00 90.00°
Space group Pm-3m (No. 221)
Inequivalent atoms, fractional coordinates:
Cs (0.000, 0.000, 0.000) [1 per cell]
Ca (0.500, 0.500, 0.500) [1 per cell]
C (0.000, 0.000, 0.500) [3 per cell]

Values from the calculation:
- ΔE_f: 16.58 eV/f.u.
- Relative energy among the computed polymorphs: 0.534 eV per atom
- Energy: -2.789 eV per atom

# Na3VTc

A geometry-optimized Na3VTc structure (PBE, Alexandria via LeMat-Bulk).

Cell: 5.584 5.584 5.584 Å, 90.00 90.00 90.00°
Space group Pm-3m (No. 221)
Inequivalent atoms, fractional coordinates:
Na (0.000, 0.000, 0.500) [3 per cell]
V (0.500, 0.500, 0.500) [1 per cell]
Tc (0.000, 0.000, 0.000) [1 per cell]

Values from the calculation:
- ΔE_f: 9.27 eV/f.u.
- Relative energy among the computed polymorphs: 0.000 eV per atom
- Energy: -2.835 eV per atom

Q: Which formula does entry 1 have?
A: CsCaC3

Q: What is the relative energy among the computed polymorphs in the first record?
A: 0.534 eV per atom